Density functional theory data (PBE with a Hubbard U) for YSi2WF after structural relaxation.

Results
- calculated volume (A^3/atom) = 19.4
- DFT total energy (eV per atom) = -5.26

a = 4.818 Å, b = 4.818 Å, c = 4.186 Å
α = 90.00°, β = 90.00°, γ = 90.00°
Element x y z (fractional)
Y 0.000 0.000 0.000
Si 0.000 0.500 0.500
Si 0.500 0.000 0.500
W 0.500 0.500 0.000
F 0.500 0.500 0.500